Material: Na4C2O5
Method: DFT, GGA-PBE
State: optimized geometry

Cell lengths 5.0676, 5.0676, 6.2187 Å; angles 81.36, 81.36, 63.64 degrees
Closest atoms and distances in Å follow each position.
Element x y z (fractional)
Na (0.0034, 0.0034, 0.0085)  5 O 2.27-2.39
Na (0.3341, 0.3341, 0.7349)  6 O 2.51-2.77
Na (0.6698, 0.6698, 0.2622)  5 O 2.49-2.62
Na (0.0025, 0.0025, 0.5010)  5 O 2.30-2.57
C (0.3161, 0.3161, 0.2523)  2 O 1.31
C (0.6603, 0.6603, 0.7627)  3 O 1.29-1.30
O (0.5988, 0.1840, 0.2818)  1 C 1.31
O (0.1840, 0.5988, 0.2818)  1 C 1.31
O (0.8068, 0.3853, 0.7207)  1 C 1.30
O (0.3853, 0.8068, 0.7207)  1 C 1.30
O (0.7880, 0.7880, 0.8455)  1 C 1.29

Computed properties:
* total moment: 0.00 μB/cell
* DFT total energy: -5.8746 eV/atom